Record 1
Li2Cu5Ni2: relaxed, PBE.

Results
Energy relative to the lowest polymorph listed for this composition = 56 meV/atom
DFT formation energy = 0.0468 eV/atom
Total magnetization = 0.000 μB/cell
V = 220.7 Å³ per cell

a = 8.369 Å, b = 8.369 Å, c = 6.910 Å
α = 114.26°, β = 114.26°, γ = 30.26°
Fractional coordinates of all 18 atoms:
Li (0.000, 0.000, 0.000)
Li (0.254, 0.246, 0.870)
Li (0.500, 0.500, 0.500)
Li (0.754, 0.746, 0.130)
Cu (0.004, 0.496, 0.500)
Cu (0.101, 0.094, 0.431)
Cu (0.164, 0.157, 0.138)
Cu (0.343, 0.336, 0.316)
Cu (0.406, 0.398, 0.735)
Cu (0.504, 0.996, 0.500)
Cu (0.602, 0.594, 0.265)
Cu (0.664, 0.657, 0.684)
Cu (0.843, 0.836, 0.862)
Cu (0.906, 0.899, 0.569)
Ni (0.074, 0.075, 0.748)
Ni (0.425, 0.426, 0.099)
Ni (0.574, 0.575, 0.901)
Ni (0.925, 0.926, 0.252)



Record 2
LiCu2Ni5: relaxed, PBE.

Results
DFT formation energy = 0.0230 eV/atom
Total magnetization = 3.764 μB/cell
V = 179.0 Å³ per cell

a = 4.121 Å, b = 10.041 Å, c = 4.325 Å
α = 90.00°, β = 90.07°, γ = 90.00°
Fractional coordinates of all 16 atoms:
Li (0.249, 0.250, 0.342)
Li (0.751, 0.750, 0.658)
Cu (0.250, 0.123, 0.839)
Cu (0.250, 0.377, 0.839)
Cu (0.750, 0.623, 0.161)
Cu (0.750, 0.877, 0.161)
Ni (0.250, 0.506, 0.339)
Ni (0.250, 0.994, 0.339)
Ni (0.251, 0.625, 0.829)
Ni (0.251, 0.750, 0.319)
Ni (0.251, 0.875, 0.829)
Ni (0.749, 0.125, 0.171)
Ni (0.749, 0.250, 0.681)
Ni (0.749, 0.375, 0.171)
Ni (0.750, 0.006, 0.661)
Ni (0.750, 0.494, 0.661)



Record 3
Li2CuNi2: relaxed, PBE.

Results
Energy relative to the lowest polymorph listed for this composition = 0 meV/atom
DFT formation energy = 0.0123 eV/atom
Total magnetization = 0.000 μB/cell
V = 115.5 Å³ per cell

a = 11.692 Å, b = 4.095 Å, c = 2.452 Å
α = 90.00°, β = 100.47°, γ = 90.00°
Fractional coordinates of all 10 atoms:
Li (0.108, 0.000, 0.410)
Li (0.392, 0.500, 0.590)
Li (0.608, 0.500, 0.410)
Li (0.892, 0.000, 0.590)
Cu (0.000, 0.500, 0.000)
Cu (0.500, 0.000, 0.000)
Ni (0.199, 0.500, 0.770)
Ni (0.301, 0.000, 0.230)
Ni (0.699, 0.000, 0.770)
Ni (0.801, 0.500, 0.230)



Record 4
LiCu4Ni: relaxed, PBE.

Results
Energy relative to the lowest polymorph listed for this composition = 0 meV/atom
DFT formation energy = -0.0119 eV/atom
Total magnetization = 0.000 μB/cell
V = 141.0 Å³ per cell

a = 4.176 Å, b = 8.098 Å, c = 4.170 Å
α = 90.00°, β = 90.00°, γ = 90.00°
Fractional coordinates of all 12 atoms:
Li (0.000, 0.000, 0.000)
Li (0.500, 0.500, 0.000)
Cu (0.000, 0.168, 0.500)
Cu (0.000, 0.338, 0.000)
Cu (0.000, 0.662, 0.000)
Cu (0.000, 0.832, 0.500)
Cu (0.500, 0.162, 0.000)
Cu (0.500, 0.332, 0.500)
Cu (0.500, 0.668, 0.500)
Cu (0.500, 0.838, 0.000)
Ni (0.000, 0.500, 0.500)
Ni (0.500, 0.000, 0.500)



Record 5
LiCu3Ni2: relaxed, PBE.

Results
Energy relative to the lowest polymorph listed for this composition = 0 meV/atom
DFT formation energy = -0.0237 eV/atom
Total magnetization = 0.938 μB/cell
V = 137.5 Å³ per cell

a = 6.905 Å, b = 6.905 Å, c = 6.905 Å
α = 42.76°, β = 42.76°, γ = 42.76°
Fractional coordinates of all 12 atoms:
Li (0.224, 0.224, 0.224)
Li (0.776, 0.776, 0.776)
Cu (0.224, 0.723, 0.723)
Cu (0.277, 0.277, 0.776)
Cu (0.277, 0.776, 0.277)
Cu (0.723, 0.224, 0.723)
Cu (0.723, 0.723, 0.224)
Cu (0.776, 0.277, 0.277)
Ni (0.000, 0.000, 0.000)
Ni (0.000, 0.500, 0.500)
Ni (0.500, 0.000, 0.500)
Ni (0.500, 0.500, 0.000)



Record 6
Li4Cu4Ni: relaxed, PBE.

Results
DFT formation energy = -0.0086 eV/atom
Total magnetization = 0.000 μB/cell
V = 112.6 Å³ per cell

a = 6.250 Å, b = 6.250 Å, c = 6.250 Å
α = 93.45°, β = 93.45°, γ = 151.59°
Fractional coordinates of all 9 atoms:
Li (0.000, 0.317, 0.317)
Li (0.000, 0.683, 0.683)
Li (0.317, 0.000, 0.317)
Li (0.683, 0.000, 0.683)
Cu (0.335, 0.335, 0.670)
Cu (0.335, 0.665, 0.000)
Cu (0.665, 0.335, 0.000)
Cu (0.665, 0.665, 0.330)
Ni (0.000, 0.000, 0.000)



Which of these has the lowest DFT formation energy? LiCu3Ni2



Repeat the third record exactly.
Li2CuNi2: relaxed, PBE.

Results
Energy relative to the lowest polymorph listed for this composition = 0 meV/atom
DFT formation energy = 0.0123 eV/atom
Total magnetization = 0.000 μB/cell
V = 115.5 Å³ per cell

a = 11.692 Å, b = 4.095 Å, c = 2.452 Å
α = 90.00°, β = 100.47°, γ = 90.00°
Fractional coordinates of all 10 atoms:
Li (0.108, 0.000, 0.410)
Li (0.392, 0.500, 0.590)
Li (0.608, 0.500, 0.410)
Li (0.892, 0.000, 0.590)
Cu (0.000, 0.500, 0.000)
Cu (0.500, 0.000, 0.000)
Ni (0.199, 0.500, 0.770)
Ni (0.301, 0.000, 0.230)
Ni (0.699, 0.000, 0.770)
Ni (0.801, 0.500, 0.230)



Among the records above, which one has the highest DFT formation energy? Li2Cu5Ni2



Among the records above, which one has the highest total magnetization? LiCu2Ni5